CaEr2Os PBE relaxed; final energy = -5.56 eV per atom; energy relative to the lowest polymorph listed for this composition = 209 meV per atom
1.0
-2.164 0.041 3.459
-2.681 -2.979 0.765
4.744 -5.667 5.441
Os Ca Er
1 1 2
direct
0.000 0.000 0.000 Os
0.500 0.500 0.500 Ca
0.282 0.282 0.155 Er
0.718 0.718 0.845 Er